1 | Entry from the Alexandria database: crystalline ZrCuRu3 at its relaxed geometry (PBE-GGA).

```
ZrCuRu3
1.0
4.786 0.000 0.000
0.000 4.786 0.000
0.000 0.000 4.786
Ru Cu Zr
3 1 1
direct
0.000 0.000 0.500
0.500 0.000 0.000
0.000 0.500 0.000
0.500 0.500 0.500
0.000 0.000 0.000
```

Calculated values
The calculation puts the magnetization at 3.58 μB/f.u. The crystal system is cubic.

=====

2 | Entry from the Alexandria database: crystalline ZrCuRu3 at its relaxed geometry (PBE-GGA).

```
ZrCuRu3
1.0
-2.434 0.019 -3.718
2.785 -2.935 -1.838
-2.463 -3.337 1.595
Ru Cu Zr
3 1 1
direct
0.000 0.000 0.500
0.500 0.000 0.000
0.000 0.500 0.000
0.000 0.000 0.000
0.500 0.500 0.500
```

Calculated values
The calculation puts the magnetization at 0.00 μB/f.u. The crystal system is cubic.

=====

Tell me which of them is the least stable. Sure, it is 1.

=====

1 | Entry from the Alexandria database: crystalline CuSb2S4 at its relaxed geometry (PBE-GGA).

```
CuSb2S4
1.0
-5.943 -2.007 -4.402
0.145 -7.043 3.016
-6.316 -2.933 3.192
Sb S Cu
4 8 2
direct
0.000 0.000 0.000
0.500 0.000 0.000
0.500 0.500 0.500
0.500 0.000 0.500
0.248 0.253 0.495
0.753 0.748 0.995
0.247 0.252 0.005
0.243 0.747 0.505
0.757 0.253 0.495
0.753 0.257 0.995
0.752 0.747 0.505
0.247 0.743 0.005
0.875 0.625 0.750
0.125 0.375 0.250
```

Calculated values
The calculation puts the magnetization at 0.00 μB/f.u. The crystal system is tetragonal.

=====

2 | Entry from the Alexandria database: crystalline CuSb2S4 at its relaxed geometry (PBE-GGA).

```
CuSb2S4
1.0
-1.934 0.980 -3.346
-2.587 -5.663 2.212
-9.130 7.037 7.338
S Cu Sb
8 2 4
direct
0.234 0.467 0.612
0.939 0.879 0.750
0.234 0.467 0.888
0.061 0.121 0.250
0.766 0.533 0.112
0.766 0.533 0.388
0.500 0.000 0.000
0.500 0.000 0.500
0.501 0.003 0.250
0.499 0.997 0.750
0.861 0.723 0.562
0.139 0.277 0.438
0.139 0.277 0.062
0.861 0.723 0.938
```

Calculated values
The calculation puts the magnetization at 0.00 μB/f.u. The crystal system is orthorhombic.

=====

Tell me which of them is the least stable. Sure, it is 2.

=====

1 | Entry from the Alexandria database: crystalline Cu2SbS3 at its relaxed geometry (PBE-GGA).

```
Cu2SbS3
1.0
3.812 0.000 0.000
0.000 6.461 0.684
0.000 -1.946 11.056
Cu S Sb
4 6 2
direct
0.750 0.044 0.414
0.250 0.544 0.943
0.750 0.456 0.057
0.250 0.956 0.586
0.750 0.770 0.546
0.250 0.169 0.763
0.750 0.831 0.237
0.250 0.362 0.134
0.750 0.638 0.866
0.250 0.230 0.454
0.750 0.386 0.677
0.250 0.614 0.323
```

Calculated values
The calculation puts the magnetization at 0.00 μB/f.u. The crystal system is monoclinic.

=====

2 | Entry from the Alexandria database: crystalline Cu2SbS3 at its relaxed geometry (PBE-GGA).

```
Cu2SbS3
1.0
7.180 -0.532 -1.024
-4.340 5.744 -1.024
0.056 0.103 6.348
S Cu Sb
6 4 2
direct
0.413 0.856 0.383
0.256 0.015 0.892
0.695 0.537 0.392
0.537 0.695 0.892
0.015 0.256 0.392
0.856 0.413 0.883
0.738 0.275 0.506
0.438 0.589 0.513
0.589 0.438 0.013
0.275 0.738 0.006
0.142 0.940 0.484
0.940 0.142 0.984
```

Calculated values
The calculation puts the magnetization at 0.00 μB/f.u. The crystal system is monoclinic.

=====

Tell me which of them is the least stable. Sure, it is 1.

=====

1 | Entry from the Alexandria database: crystalline Cu3SbS at its relaxed geometry (PBE-GGA).

```
Cu3SbS
1.0
-2.081 -2.788 2.810
2.262 -3.443 -1.741
3.249 0.612 3.013
Sb Cu S
1 3 1
direct
0.500 0.500 0.500
0.000 0.000 0.500
0.000 0.500 0.000
0.500 0.000 0.000
0.000 0.000 0.000
```

Calculated values
The calculation puts the magnetization at 0.00 μB/f.u. The crystal system is cubic.

=====

2 | Entry from the Alexandria database: crystalline Cu3SbS at its relaxed geometry (PBE-GGA).

```
Cu3SbS
1.0
4.844 0.000 0.000
0.000 4.844 0.000
0.000 0.000 4.844
S Cu Sb
1 3 1
direct
0.500 0.500 0.500
0.000 0.500 0.000
0.000 0.000 0.500
0.500 0.000 0.000
0.000 0.000 0.000
```

Calculated values
The calculation puts the magnetization at 0.00 μB/f.u. The crystal system is cubic.

=====

Tell me which of them is the least stable. Sure, it is 2.

=====

1 | Entry from the Alexandria database: crystalline CuSb2TeS at its relaxed geometry (PBE-GGA).

```
CuSb2TeS
1.0
5.209 0.000 0.000
0.000 5.209 0.000
0.000 0.000 5.198
Te S Sb Cu
1 1 2 1
direct
0.000 0.000 0.500
0.000 0.000 0.000
0.000 0.500 0.000
0.500 0.000 0.000
0.500 0.500 0.500
```

Calculated values
The calculation puts the magnetization at 0.00 μB/f.u. The crystal system is tetragonal.

=====

2 | Entry from the Alexandria database: crystalline CuSb2TeS at its relaxed geometry (PBE-GGA).

```
CuSb2TeS
1.0
-2.796 -2.745 -3.329
-2.379 -2.329 3.918
-3.456 3.523 -0.004
Te Cu S Sb
1 1 1 2
direct
0.000 0.000 0.500
0.000 0.000 0.000
0.500 0.500 0.500
0.000 0.500 0.000
0.500 0.000 0.000
```

Calculated values
The calculation puts the magnetization at 0.00 μB/f.u. The crystal system is tetragonal.

=====

Tell me which of them is the least stable. Sure, it is 1.

=====

1 | Entry from the Alexandria database: crystalline Cu2SeS at its relaxed geometry (PBE-GGA).

```
Cu2SeS
1.0
-3.166 -1.620 -0.013
-1.543 -0.914 3.071
-4.261 4.414 1.232
Cu S Se
2 1 1
direct
0.243 0.243 0.272
0.091 0.091 0.727
0.497 0.497 0.510
0.670 0.670 0.990
```

Calculated values
The calculation puts the magnetization at 0.00 μB/f.u. The crystal system is trigonal.

=====

2 | Entry from the Alexandria database: crystalline Cu2SeS at its relaxed geometry (PBE-GGA).

```
Cu2SeS
1.0
1.298 2.996 3.007
-3.012 2.533 2.052
-0.883 -0.647 4.301
Se Cu S
1 2 1
direct
0.500 0.500 0.500
0.250 0.250 0.250
0.750 0.750 0.750
0.000 0.000 0.000
```

Calculated values
The calculation puts the magnetization at 0.00 μB/f.u. The crystal system is cubic.

=====

3 | Entry from the Alexandria database: crystalline Cu2SeS at its relaxed geometry (PBE-GGA).

```
Cu2SeS
1.0
5.365 0.000 0.000
0.000 5.365 0.000
2.682 2.682 5.328
Cu S Se
4 2 2
direct
0.148 0.625 0.250
0.375 0.398 0.750
0.875 0.852 0.750
0.602 0.125 0.250
0.500 0.500 0.000
0.250 0.750 0.500
0.750 0.250 0.500
0.000 0.000 0.000
```

Calculated values
The calculation puts the magnetization at 0.00 μB/f.u. The crystal system is tetragonal.

=====

4 | Entry from the Alexandria database: crystalline Cu2SeS at its relaxed geometry (PBE-GGA).

```
Cu2SeS
1.0
3.785 0.000 0.000
1.892 3.278 0.000
1.892 1.093 6.597
Cu S Se
2 1 1
direct
0.893 0.893 0.321
0.107 0.107 0.679
0.000 0.000 0.000
0.500 0.500 0.500
```

Calculated values
The calculation puts the magnetization at 0.00 μB/f.u. The crystal system is trigonal.

=====

Tell me which of them is the least stable. Sure, it is 2.